Entry w
This record from Alexandria describes a geometry-optimized LiDyLu2 structure. The functional is GGA-PBE.

Cell: 3.540 3.540 8.691 Å, 90.00 90.00 90.00°
Positions (direct):
Li 0.000 0.000 0.000
Dy 0.000 0.000 0.500
Lu 0.500 0.500 0.221
Lu 0.500 0.500 0.779

Summary:
Total moment, μB per formula unit: 0.00
DOS at the Fermi energy, states/eV per cell: 4.33

---

Entry x
This record from Alexandria describes a geometry-optimized LiDyLu2 structure. The functional is GGA-PBE.

Cell: 5.440 5.440 3.764 Å, 90.00 90.00 90.00°
Positions (direct):
Li 0.000 0.000 0.000
Dy 0.500 0.500 0.000
Lu 0.000 0.500 0.500
Lu 0.500 0.000 0.500

Summary:
Total moment, μB per formula unit: 0.00
DOS at the Fermi energy, states/eV per cell: 5.29

---

Which structure is the most stable? The one labeled entry w.

---

Entry w
This record from Alexandria describes a geometry-optimized LiDy2Mg structure. The functional is GGA-PBE.

Cell: 12.037 12.037 12.037 Å, 16.05 16.05 16.05°
Positions (direct):
Li 0.000 0.000 0.000
Dy 0.091 0.091 0.091
Dy 0.909 0.909 0.909
Mg 0.500 0.500 0.500

Summary:
Total moment, μB per formula unit: 0.00
DOS at the Fermi energy, states/eV per cell: 3.91

---

Entry x
This record from Alexandria describes a geometry-optimized LiDy2Mg structure. The functional is GGA-PBE.

Cell: 3.760 3.760 7.458 Å, 90.00 90.00 90.00°
Positions (direct):
Li 0.000 0.000 0.000
Dy 0.500 0.500 0.251
Dy 0.500 0.500 0.749
Mg 0.000 0.000 0.500

Summary:
Total moment, μB per formula unit: 0.00
DOS at the Fermi energy, states/eV per cell: 4.10

---

Which structure is the most stable? The one labeled entry x.

---

Entry w
This record from Alexandria describes a geometry-optimized LiDy2Mg structure. The functional is GGA-PBE.

Cell: 5.308 5.308 5.308 Å, 60.00 60.00 60.00°
Positions (direct):
Li 0.000 0.000 0.000
Dy 0.250 0.250 0.250
Dy 0.750 0.750 0.750
Mg 0.500 0.500 0.500

Summary:
Total moment, μB per formula unit: 0.00
DOS at the Fermi energy, states/eV per cell: 5.83

---

Entry x
This record from Alexandria describes a geometry-optimized LiDy2Mg structure. The functional is GGA-PBE.

Cell: 3.366 3.366 11.267 Å, 98.53 98.53 60.00°
Positions (direct):
Li 0.000 0.000 0.000
Dy 0.416 0.416 0.247
Dy 0.584 0.584 0.752
Mg 0.833 0.833 0.500

Summary:
Total moment, μB per formula unit: 0.00
DOS at the Fermi energy, states/eV per cell: 3.66

---

Which structure is the most stable? The one labeled entry w.